The following is a GGA+U calculation of CrCo2SiO6 after structural relaxation, from Alexandria via LeMat-Bulk.

POSCAR file:
```
CrCo2SiO6
1.0
4.902 0.041 -0.023
2.486 4.316 -0.055
2.441 1.407 4.457
Si Co O Cr
1 2 6 1
Direct
0.318 0.326 0.033
0.530 0.528 0.413
0.011 0.023 0.957
0.966 0.574 0.250
0.582 0.203 0.244
0.211 0.966 0.229
0.701 0.112 0.775
0.108 0.423 0.779
0.418 0.694 0.781
0.816 0.812 0.555
```

Results
- SG = P1 (1)
- V (Å³/f.u.) = 94
- energy (eV per atom) = -6.955
- mass density (kg/m3) = 5172